(1)
Material: CaTiBr3
Method: DFT, GGA-PBE
State: relaxed

The structure in POSCAR format:
```
CaTiBr3
1.0
5.274 0.000 0.000
0.000 5.274 0.000
0.000 0.000 5.274
Ca Ti Br
1 1 3
Cartesian
0.000 0.000 0.000 Ca
2.637 2.637 2.637 Ti
0.000 2.637 2.637 Br
2.637 0.000 2.637 Br
2.637 2.637 0.000 Br
```

Output
Calculated density = 3.7 g cm⁻³
N(E_F) = 4.4 states/eV per cell
Magnetization = 2.705 μB per formula unit
Energy relative to the elements, uncorrected = -85.8 kJ/mol of atoms

(2)
Material: CaTiBr2
Method: DFT, GGA-PBE
State: relaxed

The structure in POSCAR format:
```
CaTiBr2
1.0
1.908 1.102 9.176
-1.908 1.102 9.176
0.000 -2.204 9.176
Ca Ti Br
1 1 2
Cartesian
0.000 0.000 0.000 Ca
0.000 0.000 13.764 Ti
0.000 0.000 11.029 Br
0.000 0.000 16.500 Br
```

Output
Calculated density = 3.6 g cm⁻³
Polymorph energy (0 for the lowest one) = 0.0340 eV per atom
N(E_F) = 7.9 states/eV per cell
Magnetization = 2.949 μB per formula unit
Energy relative to the elements, uncorrected = -61.2 kJ/mol of atoms

(3)
Material: CaTiBr2
Method: DFT, GGA-PBE
State: relaxed

The structure in POSCAR format:
```
CaTiBr2
1.0
0.000 3.492 3.492
3.492 0.000 3.492
3.492 3.492 0.000
Ca Ti Br
1 1 2
Cartesian
0.000 0.000 0.000 Ca
3.492 3.492 3.492 Ti
1.746 1.746 1.746 Br
5.238 5.238 5.238 Br
```

Output
Calculated density = 4.8 g cm⁻³
Polymorph energy (0 for the lowest one) = 0.2104 eV per atom
N(E_F) = 2.2 states/eV per cell
Magnetization = 0.000 μB per formula unit
Energy relative to the elements, uncorrected = -44.2 kJ/mol of atoms

(4)
Material: CaTi3Br
Method: DFT, GGA-PBE
State: relaxed

The structure in POSCAR format:
```
CaTi3Br
1.0
4.826 0.000 0.000
0.000 4.826 0.000
0.000 0.000 4.826
Ca Ti Br
1 3 1
Cartesian
0.000 0.000 0.000 Ca
0.000 2.413 2.413 Ti
2.413 0.000 2.413 Ti
2.413 2.413 0.000 Ti
2.413 2.413 2.413 Br
```

Output
Calculated density = 3.9 g cm⁻³
Polymorph energy (0 for the lowest one) = 0.0000 eV per atom
N(E_F) = 7.8 states/eV per cell
Magnetization = 0.000 μB per formula unit
Energy relative to the elements, uncorrected = 38.7 kJ/mol of atoms

(5)
Material: Ca3TiBr
Method: DFT, GGA-PBE
State: relaxed

The structure in POSCAR format:
```
Ca3TiBr
1.0
5.599 0.000 0.000
0.000 5.599 0.000
0.000 0.000 5.599
Ca Ti Br
3 1 1
Cartesian
0.000 0.000 2.800 Ca
0.000 2.800 0.000 Ca
2.800 0.000 0.000 Ca
2.800 2.800 2.800 Ti
0.000 0.000 0.000 Br
```

Output
Calculated density = 2.3 g cm⁻³
Polymorph energy (0 for the lowest one) = 0.0000 eV per atom
N(E_F) = 4.4 states/eV per cell
Magnetization = 3.484 μB per formula unit
Energy relative to the elements, uncorrected = 6.4 kJ/mol of atoms

(6)
Material: Ca3Tl2Br8
Method: DFT, GGA-PBE
State: relaxed

The structure in POSCAR format:
```
Ca3Tl2Br8
1.0
8.070 -4.348 0.000
8.070 4.348 0.000
-2.335 0.000 7.117
Ca Tl Br
3 2 8
Cartesian
0.000 0.000 0.000 Ca
6.903 2.107 3.559 Ca
6.903 -2.107 3.559 Ca
2.414 0.000 5.981 Tl
11.392 0.000 1.136 Tl
0.701 0.000 2.864 Br
6.102 2.352 0.759 Br
7.704 2.352 6.358 Br
4.980 0.000 3.935 Br
8.826 0.000 3.182 Br
6.102 -2.352 0.759 Br
7.704 -2.352 6.358 Br
13.105 0.000 4.253 Br
```

Output
Calculated density = 3.9 g cm⁻³
N(E_F) = 0.0 states/eV per cell
Magnetization = 0.000 μB per formula unit
Energy relative to the elements, uncorrected = -162.5 kJ/mol of atoms